1.
# CaCrSb2

A relaxed structure of CaCrSb2 (PBE-GGA, Alexandria via LeMat-Bulk).

extended XYZ file:
```
4
Lattice="0.000 3.514 3.514 3.514 0.000 3.514 3.514 3.514 0.000" Properties=species:S:1:pos:R:3 pbc="T T T"
Ca 0.000 0.000 0.000
Cr 3.514 3.514 3.514
Sb 1.757 1.757 1.757
Sb 5.271 5.271 5.271
```

SG: No. 225
Density (g/cm3): 6.4
Offset from the most stable computed form (eV/f.u.): 1.97
Fermi-level density of states (states/eV/cell): 5.65
Spin magnetization (μB per formula unit): 0.0
Formation energy from raw total energies (meV/atom): 156.1



2.
# CaCrSb

A relaxed structure of CaCrSb (PBE-GGA, Alexandria via LeMat-Bulk).

extended XYZ file:
```
3
Lattice="4.657 0.000 0.000 -2.329 4.033 0.000 0.000 0.000 4.291" Properties=species:S:1:pos:R:3 pbc="T T T"
Ca 0.000 0.000 0.000
Cr 2.329 1.344 2.142
Sb 0.000 2.689 2.148
```

SG: No. 156
Density (g/cm3): 4.4
Fermi-level density of states (states/eV/cell): 1.63
Spin magnetization (μB per formula unit): 4.7
Formation energy from raw total energies (meV/atom): -196.5



3.
# Ca2CrSb

A relaxed structure of Ca2CrSb (PBE-GGA, Alexandria via LeMat-Bulk).

extended XYZ file:
```
4
Lattice="4.582 0.000 0.000 0.000 2.228 5.781 0.000 -2.228 5.781" Properties=species:S:1:pos:R:3 pbc="T T T"
Ca 0.000 0.000 0.000
Ca 2.291 0.000 3.277
Cr 2.291 0.000 6.623
Sb 0.000 0.000 8.264
```

SG: No. 38
Density (g/cm3): 3.6
Fermi-level density of states (states/eV/cell): 2.26
Spin magnetization (μB per formula unit): 5.0
Formation energy from raw total energies (meV/atom): -229.8



4.
# CaCrSb2

A relaxed structure of CaCrSb2 (PBE-GGA, Alexandria via LeMat-Bulk).

extended XYZ file:
```
4
Lattice="-2.178 2.945 3.977 2.178 -2.945 3.977 2.178 2.945 -3.977" Properties=species:S:1:pos:R:3 pbc="T T T"
Ca 0.000 0.000 0.000
Cr 0.000 0.000 3.977
Sb 2.178 0.000 2.246
Sb 0.000 2.945 1.731
```

SG: No. 71
Density (g/cm3): 5.5
Offset from the most stable computed form (eV/f.u.): 0.58
Fermi-level density of states (states/eV/cell): 1.79
Spin magnetization (μB per formula unit): 3.3
Formation energy from raw total energies (meV/atom): -189.2



5.
# CaCr2Sb

A relaxed structure of CaCr2Sb (PBE-GGA, Alexandria via LeMat-Bulk).

extended XYZ file:
```
4
Lattice="2.228 1.286 5.340 -2.228 1.286 5.340 0.000 -2.572 5.340" Properties=species:S:1:pos:R:3 pbc="T T T"
Ca 0.000 0.000 0.000
Cr 0.000 0.000 3.294
Cr 0.000 0.000 8.414
Sb 0.000 0.000 12.784
```

SG: No. 160
Density (g/cm3): 4.8
Fermi-level density of states (states/eV/cell): 1.90
Spin magnetization (μB per formula unit): 0.6
Formation energy from raw total energies (meV/atom): -5.1



6.
# CaCrSb2

A relaxed structure of CaCrSb2 (PBE-GGA, Alexandria via LeMat-Bulk).

extended XYZ file:
```
4
Lattice="3.598 -2.068 0.000 3.598 2.068 0.000 -2.368 0.000 6.936" Properties=species:S:1:pos:R:3 pbc="T T T"
Ca 0.000 0.000 0.000
Cr 2.414 0.000 3.468
Sb 0.021 0.000 4.824
Sb 4.807 0.000 2.112
```

SG: No. 12
Density (g/cm3): 5.4
Offset from the most stable computed form (eV/f.u.): 0.00
Fermi-level density of states (states/eV/cell): 1.64
Spin magnetization (μB per formula unit): 2.6
Formation energy from raw total energies (meV/atom): -335.4